[1]
# CaPSe | Alexandria | GGA-PBE | relaxed
# Total DFT energy (no corrections) ... -55.59 eV/cell
data_CaPSe
_chemical_formula_sum 'Ca4 P4 Se4'
_cell_length_a 7.445
_cell_length_b 3.868
_cell_length_c 10.468
_cell_angle_alpha 90.00
_cell_angle_beta 105.99
_cell_angle_gamma 90.00
_space_group_name_H-M_alt 'C 1 m 1'
_space_group_IT_number 8
loop_
_space_group_symop_operation_xyz
'x,y,z'
'x,-y,z'
'x+1/2,y+1/2,z'
'x+1/2,-y+1/2,z'
loop_
_atom_site_label
_atom_site_type_symbol
_atom_site_fract_x
_atom_site_fract_y
_atom_site_fract_z
Ca1 Ca 0.000 0.000 0.000
Ca2 Ca 0.135 0.000 0.361
P1 P 0.020 0.500 0.537
P2 P 0.488 0.500 0.658
Se1 Se 0.241 0.500 0.183
Se2 Se 0.263 0.000 0.833

---

[2]
# Ca2Al3Ga4 | Alexandria | GGA-PBE | relaxed
# ΔE_f ... -310 meV/atom
# Total DFT energy (no corrections) ... -120.50 eV/cell
data_Ca2Al3Ga4
_chemical_formula_sum 'Ca8 Al12 Ga16'
_cell_length_a 5.938
_cell_length_b 15.594
_cell_length_c 7.907
_cell_angle_alpha 90.00
_cell_angle_beta 90.00
_cell_angle_gamma 90.00
_space_group_name_H-M_alt 'C m c e'
_space_group_IT_number 64
_space_group_name_Hall '-C 2ac 2'
loop_
_atom_site_label
_atom_site_type_symbol
_atom_site_fract_x
_atom_site_fract_y
_atom_site_fract_z
Ca1 Ca 0.000 0.107 0.095
Al1 Al 0.000 0.000 0.500
Al2 Al 0.250 0.226 0.750
Ga1 Ga 0.000 0.179 0.474
Ga2 Ga 0.250 0.060 0.750

---

[3]
# Mg2SbSe | Alexandria | GGA-PBE | relaxed
# Energy above the most stable polymorph in this dataset ... 76.2 meV/atom
# Total DFT energy (no corrections) ... -39.99 eV/cell
data_Mg2SbSe
_chemical_formula_sum 'Mg6 Sb3 Se3'
_cell_length_a 3.8478
_cell_length_b 3.8478
_cell_length_c 22.2164
_cell_angle_alpha 90.00
_cell_angle_beta 90.00
_cell_angle_gamma 120.00
_space_group_name_H-M_alt 'R 3 m'
_space_group_IT_number 160
_space_group_name_Hall 'R 3 -2"'
loop_
_atom_site_label
_atom_site_type_symbol
_atom_site_fract_x
_atom_site_fract_y
_atom_site_fract_z
Mg1 Mg 0.0000 0.0000 0.0000
Mg2 Mg 0.0000 0.0000 0.1860
Sb1 Sb 0.0000 0.0000 0.7604
Se1 Se 0.0000 0.0000 0.5912

---

[4]
# SrInSi | Alexandria | GGA-PBE | relaxed
# Total DFT energy (no corrections) ... -35.38 eV/cell
data_SrInSi
_chemical_formula_sum 'Sr4 In4 Si4'
_cell_length_a 7.288
_cell_length_b 7.288
_cell_length_c 7.288
_cell_angle_alpha 90.00
_cell_angle_beta 90.00
_cell_angle_gamma 90.00
_space_group_name_H-M_alt 'F -4 3 m'
_space_group_IT_number 216
_space_group_name_Hall 'F -4 2 3'
loop_
_atom_site_label
_atom_site_type_symbol
_atom_site_fract_x
_atom_site_fract_y
_atom_site_fract_z
Sr1 Sr 0.000 0.000 0.000
In1 In 0.250 0.250 0.250
Si1 Si 0.250 0.250 0.750

---

[5]
# Cr2OsRu | Alexandria | GGA-PBE | relaxed
# ΔE_f ... 797 meV/atom
# Energy above the most stable polymorph in this dataset ... 702.8 meV/atom
# Total DFT energy (no corrections) ... -146.26 eV/cell
data_Cr2OsRu
_chemical_formula_sum 'Cr8 Os4 Ru4'
_cell_length_a 3.796
_cell_length_b 3.796
_cell_length_c 16.210
_cell_angle_alpha 90.00
_cell_angle_beta 90.00
_cell_angle_gamma 90.00
_space_group_name_H-M_alt 'I -4 2 d'
_space_group_IT_number 122
_space_group_name_Hall 'I -4 2bw'
loop_
_atom_site_label
_atom_site_type_symbol
_atom_site_fract_x
_atom_site_fract_y
_atom_site_fract_z
Cr1 Cr 0.248 0.250 0.125
Os1 Os 0.000 0.000 0.000
Ru1 Ru 0.000 0.000 0.500

---

[6]
# SbBr2N | Alexandria | GGA-PBE | relaxed
# Energy above the most stable polymorph in this dataset ... 609.2 meV/atom
# Total DFT energy (no corrections) ... -44.32 eV/cell
data_SbBr2N
_chemical_formula_sum 'Sb4 Br8 N4'
_cell_length_a 6.503
_cell_length_b 6.503
_cell_length_c 9.987
_cell_angle_alpha 90.00
_cell_angle_beta 90.00
_cell_angle_gamma 90.00
_space_group_name_H-M_alt 'I 41/a m d'
_space_group_IT_number 141
loop_
_space_group_symop_operation_xyz
'x,y,z'
'-x,-y,-z'
'-y+1/4,x+3/4,z+1/4'
'y+1/4,-x+3/4,-z+1/4'
'-x+1/2,-y,z+1/2'
'x+1/2,y,-z+1/2'
'y+1/4,-x+1/4,z+3/4'
'-y+1/4,x+1/4,-z+3/4'
'x,-y,-z'
'-x,y,z'
'-y+1/4,-x+1/4,-z+3/4'
'y+1/4,x+1/4,z+3/4'
'-x+1/2,y,-z+1/2'
'x+1/2,-y,z+1/2'
'y+1/4,x+3/4,-z+1/4'
'-y+1/4,-x+3/4,z+1/4'
'x+1/2,y+1/2,z+1/2'
'-x+1/2,-y+1/2,-z+1/2'
'-y+3/4,x+1/4,z+3/4'
'y+3/4,-x+1/4,-z+3/4'
'-x,-y+1/2,z'
'x,y+1/2,-z'
'y+3/4,-x+3/4,z+1/4'
'-y+3/4,x+3/4,-z+1/4'
'x+1/2,-y+1/2,-z+1/2'
'-x+1/2,y+1/2,z+1/2'
'-y+3/4,-x+3/4,-z+1/4'
'y+3/4,x+3/4,z+1/4'
'-x,y+1/2,-z'
'x,-y+1/2,z'
'y+3/4,x+1/4,-z+3/4'
'-y+3/4,-x+1/4,z+3/4'
loop_
_atom_site_label
_atom_site_type_symbol
_atom_site_fract_x
_atom_site_fract_y
_atom_site_fract_z
Sb1 Sb 0.000 0.250 0.375
Br1 Br 0.000 0.000 0.000
N1 N 0.000 0.250 0.875

---

[7]
# Te2AsBr | Alexandria | GGA-PBE | relaxed
# Energy above the most stable polymorph in this dataset ... 99.5 meV/atom
# Total DFT energy (no corrections) ... -24.95 eV/cell
data_Te2AsBr
_chemical_formula_sum 'Te4 As2 Br2'
_cell_length_a 11.420
_cell_length_b 3.991
_cell_length_c 6.056
_cell_angle_alpha 90.00
_cell_angle_beta 99.00
_cell_angle_gamma 90.00
_space_group_name_H-M_alt 'C 1 m 1'
_space_group_IT_number 8
loop_
_space_group_symop_operation_xyz
'x,y,z'
'x,-y,z'
'x+1/2,y+1/2,z'
'x+1/2,-y+1/2,z'
loop_
_atom_site_label
_atom_site_type_symbol
_atom_site_fract_x
_atom_site_fract_y
_atom_site_fract_z
Te1 Te 0.000 0.000 0.000
Te2 Te 0.150 0.000 0.661
As1 As 0.472 0.000 0.662
Br1 Br 0.323 0.500 0.349

---

[8]
# TaAlB2N | Alexandria | GGA-PBE | relaxed
# Total DFT energy (no corrections) ... -30.85 eV/cell
data_TaAlB2N
_chemical_formula_sum 'Ta1 Al1 B2 N1'
_cell_length_a 4.082
_cell_length_b 4.082
_cell_length_c 3.498
_cell_angle_alpha 90.00
_cell_angle_beta 90.00
_cell_angle_gamma 90.00
_space_group_name_H-M_alt 'P 4/m m m'
_space_group_IT_number 123
_space_group_name_Hall '-P 4 2'
loop_
_atom_site_label
_atom_site_type_symbol
_atom_site_fract_x
_atom_site_fract_y
_atom_site_fract_z
Ta1 Ta 0.000 0.000 0.000
Al1 Al 0.500 0.500 0.500
B1 B 0.000 0.500 0.500
N1 N 0.500 0.500 0.000